A plane-wave DFT calculation with GGA+U was carried out for a relaxed structure of NiSbIrO2.

Lattice parameters (Å, degrees): 3.733 3.733 5.957 90.00 90.00 90.00
Space group P4/mmm (No. 123)
One atom of each set of equivalent atoms:
Ni (0.000, 0.000, 0.000) [1 per cell]
Sb (0.500, 0.500, 0.000) [1 per cell]
Ir (0.500, 0.500, 0.500) [1 per cell]
O (0.000, 0.500, 0.500) [2 per cell]

Output
**DOS at the Fermi energy**: 3.56 states/eV per cell
**Final energy**: -0.369 Ry/atom
**Crystal system**: tetragonal